This record from the Alexandria database describes crystalline Tm6IrRh at its relaxed geometry. The functional is GGA-PBE.

a b c (Å): 6.6514 10.8359 6.6539
angles (deg): 90.00 108.45 90.00
Fractional coordinates of all 16 atoms:
Tm 0.2484 0.0000 0.2479
Tm 0.2494 0.3271 0.2501
Tm 0.2494 0.6729 0.2501
Tm 0.2506 0.1729 0.7499
Tm 0.2506 0.8271 0.7499
Tm 0.2516 0.5000 0.7521
Tm 0.7484 0.5000 0.2479
Tm 0.7494 0.1729 0.2501
Tm 0.7494 0.8271 0.2501
Tm 0.7506 0.3271 0.7499
Tm 0.7506 0.6729 0.7499
Tm 0.7516 0.0000 0.7521
Ir 0.0000 0.0000 0.5000
Ir 0.5000 0.5000 0.5000
Rh 0.0000 0.5000 0.0000
Rh 0.5000 0.0000 0.0000

energy of formation from the pure elements	-342	kJ/mol of formula units
space group	C2/m

=====

This record from the Alexandria database describes crystalline TbHo2CrN4 at its relaxed geometry. The functional is GGA-PBE.

a b c (Å): 5.9245 5.9245 11.5827
angles (deg): 90.00 90.00 147.05
Fractional coordinates of all 16 atoms:
Tb 0.1077 0.8923 0.7500
Tb 0.8923 0.1077 0.2500
Ho 0.3690 0.6310 0.5428
Ho 0.3690 0.6310 0.9572
Ho 0.6310 0.3690 0.0428
Ho 0.6310 0.3690 0.4572
Cr 0.1585 0.8415 0.2500
Cr 0.8415 0.1585 0.7500
N 0.0000 0.0000 0.0000
N 0.0000 0.0000 0.5000
N 0.2669 0.7331 0.1303
N 0.2669 0.7331 0.3697
N 0.4330 0.5670 0.7500
N 0.5670 0.4330 0.2500
N 0.7331 0.2669 0.6303
N 0.7331 0.2669 0.8697

formation energy without anion corrections	-1.25	eV/atom
space group	Cmcm

=====

This record from the Alexandria database describes crystalline UGaSi at its relaxed geometry. The functional is GGA-PBE.

a b c (Å): 4.5713 4.5713 2.9190
angles (deg): 90.00 90.00 120.00
Fractional coordinates of all 3 atoms:
U 0.0000 0.0000 0.0000
Ga 0.3333 0.6667 0.5000
Si 0.6667 0.3333 0.5000

formation energy without anion corrections	-0.14	eV/atom
space group	P-6m2

=====

This record from the Alexandria database describes crystalline ZrNiB2Ru at its relaxed geometry. The functional is GGA-PBE.

a b c (Å): 3.9991 3.9991 5.0568
angles (deg): 90.00 90.00 90.00
Fractional coordinates of all 5 atoms:
Zr 0.0000 0.0000 0.0000
Ni 0.5000 0.5000 0.0000
B 0.0000 0.5000 0.5000
B 0.5000 0.0000 0.5000
Ru 0.0000 0.0000 0.5000

energy of formation from the pure elements	400	kJ/mol of formula units
space group	P4/mmm
energy relative to the lowest polymorph listed for this composition	0.00	kJ/mol of atoms

=====

Number 1: volume 28.43 Å³ per atom, DOS at the Fermi energy 0.7624 states/eV/atom, total energy -5.82 eV per atom. Number 2: volume 13.82 Å³ per atom, DOS at the Fermi energy 0.4246 states/eV/atom, total energy -8.34 eV per atom. Number 3: volume 17.61 Å³ per atom, DOS at the Fermi energy 1.6724 states/eV/atom, total energy -6.72 eV per atom. Number 4: volume 16.17 Å³ per atom, DOS at the Fermi energy 0.6374 states/eV/atom, total energy -6.56 eV per atom.